Entry 1:
The following is a DFT calculation (GGA-PBE) of crystalline TmIn2Ge at its relaxed geometry.

Cell and atoms, written as POSCAR:
```
TmIn2Ge
1.0
3.416 0.000 0.000
-1.708 2.958 0.000
0.000 0.000 32.394
Tm In Ge
3 6 3
direct
0.000 0.000 0.000
0.333 0.667 0.667
0.667 0.333 0.333
0.000 0.000 0.096
0.000 0.000 0.904
0.333 0.667 0.570
0.333 0.667 0.763
0.667 0.333 0.237
0.667 0.333 0.430
0.000 0.000 0.500
0.333 0.667 0.167
0.667 0.333 0.833
```

D(E_F): 7.53 states/eV/cell
ΔE to the lowest computed polymorph: 0.556 eV per atom
Energy relative to the elements: 0.20 eV per atom

Entry 2:
The following is a DFT calculation (GGA-PBE) of crystalline InOsAu2N at its relaxed geometry.

Cell and atoms, written as POSCAR:
```
InOsAu2N
1.0
4.966 0.000 0.000
0.000 4.966 0.000
0.000 0.000 5.230
In Os Au N
1 1 2 1
direct
0.000 0.000 0.000
0.000 0.000 0.500
0.000 0.500 0.500
0.500 0.000 0.500
0.500 0.500 0.000
```

Energy relative to the elements, uncorrected: 2.161 eV per atom
D(E_F): 12.03 states/eV/cell

Entry 3:
The following is a DFT calculation (GGA-PBE) of crystalline SrMnNi2 at its relaxed geometry.

Cell and atoms, written as POSCAR:
```
SrMnNi2
1.0
4.700 0.000 0.000
0.000 4.700 0.000
0.000 0.000 16.199
Sr Mn Ni
4 4 8
direct
0.000 0.250 0.375
0.000 0.750 0.625
0.500 0.250 0.125
0.500 0.750 0.875
0.000 0.250 0.875
0.000 0.750 0.125
0.500 0.250 0.625
0.500 0.750 0.375
0.000 0.000 0.000
0.000 0.500 0.000
0.250 0.250 0.750
0.250 0.750 0.250
0.500 0.000 0.500
0.500 0.500 0.500
0.750 0.250 0.750
0.750 0.750 0.250
```

D(E_F): 11.95 states/eV/cell
Energy relative to the elements: 0.33 eV per atom

Entry 4:
The following is a DFT calculation (GGA-PBE) of crystalline La3Tb8Y4 at its relaxed geometry.

Cell and atoms, written as POSCAR:
```
La3Tb8Y4
1.0
6.748 -6.426 0.000
6.748 6.426 0.000
-3.470 0.000 5.913
La Tb Y
3 8 4
direct
0.000 0.000 0.000
0.000 0.500 0.500
0.500 0.000 0.500
0.143 0.857 0.500
0.230 0.230 0.497
0.235 0.235 0.975
0.244 0.756 0.000
0.756 0.244 0.000
0.765 0.765 0.025
0.770 0.770 0.503
0.857 0.143 0.500
0.000 0.500 0.000
0.500 0.000 0.000
0.500 0.500 0.000
0.500 0.500 0.500
```

D(E_F): 30.40 states/eV/cell
Energy relative to the elements: 0.38 eV per atom

Entry 5:
The following is a DFT calculation (GGA-PBE) of crystalline HgAs2PbO8 at its relaxed geometry.

Cell and atoms, written as POSCAR:
```
HgAs2PbO8
1.0
2.558 1.477 7.806
-2.558 1.477 7.806
0.000 -2.954 7.806
Hg As Pb O
1 2 1 8
direct
0.000 0.000 0.000
0.249 0.249 0.249
0.751 0.751 0.751
0.500 0.500 0.500
0.063 0.415 0.712
0.175 0.175 0.175
0.288 0.585 0.937
0.415 0.712 0.063
0.585 0.937 0.288
0.712 0.063 0.415
0.825 0.825 0.825
0.937 0.288 0.585
```

Energy relative to the elements, uncorrected: -0.719 eV per atom
D(E_F): 9.18 states/eV/cell

Entry 6:
The following is a DFT calculation (GGA-PBE) of crystalline TlP2WCl at its relaxed geometry.

Cell and atoms, written as POSCAR:
```
TlP2WCl
1.0
5.012 0.000 0.000
0.000 5.012 0.000
0.000 0.000 4.398
Tl P W Cl
1 2 1 1
direct
0.000 0.000 0.000
0.000 0.500 0.500
0.500 0.000 0.500
0.500 0.500 0.000
0.500 0.500 0.500
```

Energy relative to the elements, uncorrected: 1.608 eV per atom
D(E_F): 4.87 states/eV/cell
ΔE to the lowest computed polymorph: 1.513 eV per atom

Entry 7:
The following is a DFT calculation (GGA-PBE) of crystalline TcAs2BrO at its relaxed geometry.

Cell and atoms, written as POSCAR:
```
TcAs2BrO
1.0
4.706 0.000 0.000
0.000 4.706 0.000
0.000 0.000 5.363
Tc As Br O
1 2 1 1
direct
0.000 0.000 0.000
0.000 0.500 0.000
0.500 0.000 0.000
0.000 0.000 0.500
0.500 0.500 0.500
```

Energy relative to the elements, uncorrected: 0.754 eV per atom
D(E_F): 5.26 states/eV/cell
ΔE to the lowest computed polymorph: 0.084 eV per atom

Entry 8:
The following is a DFT calculation (GGA-PBE) of crystalline H12Ir5Pd3 at its relaxed geometry.

Cell and atoms, written as POSCAR:
```
H12Ir5Pd3
1.0
-5.486 5.486 5.486
5.486 -5.486 5.486
5.486 5.486 -5.486
H Ir Pd
48 20 12
direct
0.045 0.219 0.123
0.045 0.326 0.922
0.078 0.623 0.405
0.078 0.955 0.674
0.095 0.719 0.674
0.095 0.877 0.422
0.123 0.045 0.219
0.123 0.578 0.905
0.174 0.219 0.595
0.174 0.455 0.578
0.219 0.123 0.045
0.219 0.595 0.174
0.281 0.326 0.905
0.281 0.455 0.377
0.326 0.905 0.281
0.326 0.922 0.045
0.377 0.281 0.455
0.377 0.595 0.922
0.405 0.078 0.623
0.405 0.826 0.781
0.422 0.095 0.877
0.422 0.826 0.545
0.455 0.377 0.281
0.455 0.578 0.174
0.545 0.422 0.826
0.545 0.623 0.719
0.578 0.174 0.455
0.578 0.905 0.123
0.595 0.174 0.219
0.595 0.922 0.377
0.623 0.405 0.078
0.623 0.719 0.545
0.674 0.078 0.955
0.674 0.095 0.719
0.719 0.545 0.623
0.719 0.674 0.095
0.781 0.405 0.826
0.781 0.877 0.955
0.826 0.545 0.422
0.826 0.781 0.405
0.877 0.422 0.095
0.877 0.955 0.781
0.905 0.123 0.578
0.905 0.281 0.326
0.922 0.045 0.326
0.922 0.377 0.595
0.955 0.674 0.078
0.955 0.781 0.877
0.000 0.000 0.000
0.000 0.000 0.500
0.000 0.500 0.000
0.000 0.500 0.500
0.125 0.750 0.875
0.125 0.875 0.250
0.250 0.125 0.875
0.250 0.625 0.375
0.375 0.250 0.625
0.375 0.625 0.750
0.500 0.000 0.000
0.500 0.000 0.500
0.500 0.500 0.000
0.500 0.500 0.500
0.625 0.375 0.250
0.625 0.750 0.375
0.750 0.375 0.625
0.750 0.875 0.125
0.875 0.125 0.750
0.875 0.250 0.125
0.125 0.250 0.375
0.125 0.375 0.750
0.250 0.375 0.125
0.250 0.875 0.625
0.375 0.125 0.250
0.375 0.750 0.125
0.625 0.250 0.875
0.625 0.875 0.750
0.750 0.125 0.375
0.750 0.625 0.875
0.875 0.625 0.250
0.875 0.750 0.625
```

D(E_F): 33.71 states/eV/cell
VASP energy: -4.746 eV/atom

Entry 9:
The following is a DFT calculation (GGA-PBE) of crystalline SrCr2Ag at its relaxed geometry.

Cell and atoms, written as POSCAR:
```
SrCr2Ag
1.0
4.030 0.000 0.000
0.000 4.967 0.000
0.000 0.000 9.516
Sr Cr Ag
2 4 2
direct
0.000 0.000 0.000
0.500 0.500 0.500
0.000 0.500 0.228
0.000 0.500 0.772
0.500 0.000 0.272
0.500 0.000 0.728
0.000 0.000 0.500
0.500 0.500 0.000
```

D(E_F): 4.00 states/eV/cell
ΔE to the lowest computed polymorph: 0.338 eV per atom
Energy relative to the elements: 0.76 eV per atom

Entry 10:
The following is a DFT calculation (GGA-PBE) of crystalline Pm3Tl2Cu2 at its relaxed geometry.

Cell and atoms, written as POSCAR:
```
Pm3Tl2Cu2
1.0
4.321 0.000 0.000
0.000 22.032 0.000
0.000 0.000 3.695
Pm Tl Cu
6 4 4
direct
0.000 0.000 0.000
0.000 0.172 0.000
0.000 0.828 0.000
0.500 0.328 0.000
0.500 0.500 0.000
0.500 0.672 0.000
0.000 0.415 0.500
0.000 0.585 0.500
0.500 0.085 0.500
0.500 0.915 0.500
0.000 0.280 0.500
0.000 0.720 0.500
0.500 0.220 0.500
0.500 0.780 0.500
```

D(E_F): 14.32 states/eV/cell
Energy relative to the elements: -0.31 eV per atom

Entry 11:
The following is a DFT calculation (GGA-PBE) of crystalline CrIr2Br at its relaxed geometry.

Cell and atoms, written as POSCAR:
```
CrIr2Br
1.0
2.824 0.000 0.000
-1.412 2.445 0.000
0.000 0.000 27.443
Cr Ir Br
3 6 3
direct
0.000 0.000 0.000
0.333 0.667 0.667
0.667 0.333 0.333
0.000 0.000 0.260
0.000 0.000 0.511
0.333 0.667 0.178
0.333 0.667 0.927
0.667 0.333 0.593
0.667 0.333 0.845
0.000 0.000 0.734
0.333 0.667 0.400
0.667 0.333 0.067
```

Energy relative to the elements, uncorrected: 0.518 eV per atom
D(E_F): 17.54 states/eV/cell
ΔE to the lowest computed polymorph: 0.108 eV per atom

Entry 12:
The following is a DFT calculation (GGA-PBE) of crystalline LaCo2GeH at its relaxed geometry.

Cell and atoms, written as POSCAR:
```
LaCo2GeH
1.0
4.133 0.000 0.000
0.000 4.133 0.000
0.000 0.000 4.311
La Co Ge H
1 2 1 1
direct
0.000 0.000 0.000
0.000 0.500 0.500
0.500 0.000 0.500
0.500 0.500 0.000
0.000 0.000 0.500
```

D(E_F): 3.84 states/eV/cell
ΔE to the lowest computed polymorph: 0.584 eV per atom

Entry 13:
The following is a DFT calculation (GGA-PBE) of crystalline GaPb3N3 at its relaxed geometry.

Cell and atoms, written as POSCAR:
```
GaPb3N3
1.0
10.541 0.000 0.000
-5.271 9.129 0.000
0.000 0.000 3.655
Ga Pb N
2 6 6
direct
0.333 0.667 0.250
0.667 0.333 0.750
0.034 0.374 0.750
0.341 0.966 0.750
0.374 0.341 0.250
0.626 0.659 0.750
0.659 0.034 0.250
0.966 0.626 0.250
0.130 0.539 0.250
0.408 0.870 0.250
0.461 0.592 0.250
0.539 0.408 0.750
0.592 0.130 0.750
0.870 0.461 0.750
```

Energy relative to the elements, uncorrected: 0.280 eV per atom
D(E_F): 0.26 states/eV/cell

Entry 14:
The following is a DFT calculation (GGA-PBE) of crystalline TbPm7Sm12 at its relaxed geometry.

Cell and atoms, written as POSCAR:
```
TbPm7Sm12
1.0
-5.754 5.754 5.754
5.754 -5.754 5.754
5.754 5.754 -5.754
Tb Pm Sm
1 7 12
direct
0.000 0.000 0.000
0.000 0.000 0.500
0.000 0.500 0.000
0.000 0.500 0.500
0.500 0.000 0.000
0.500 0.000 0.500
0.500 0.500 0.000
0.500 0.500 0.500
0.000 0.248 0.752
0.000 0.752 0.248
0.248 0.000 0.752
0.248 0.248 0.496
0.248 0.496 0.248
0.248 0.752 0.000
0.496 0.248 0.248
0.504 0.752 0.752
0.752 0.000 0.248
0.752 0.248 0.000
0.752 0.504 0.752
0.752 0.752 0.504
```

D(E_F): 26.86 states/eV/cell
ΔE to the lowest computed polymorph: 0.389 eV per atom
Energy relative to the elements: 0.61 eV per atom

Entry 15:
The following is a DFT calculation (GGA-PBE) of crystalline SnSbSeI2 at its relaxed geometry.

Cell and atoms, written as POSCAR:
```
SnSbSeI2
1.0
5.723 0.000 0.000
0.000 5.723 0.000
0.000 0.000 5.562
Sn Sb Se I
1 1 1 2
direct
0.000 0.000 0.000
0.500 0.500 0.000
0.500 0.500 0.500
0.000 0.500 0.500
0.500 0.000 0.500
```

Energy relative to the elements, uncorrected: 0.428 eV per atom
D(E_F): 5.64 states/eV/cell
ΔE to the lowest computed polymorph: 0.000 eV per atom

Entry 16:
The following is a DFT calculation (GGA-PBE) of crystalline La6InSe5 at its relaxed geometry.

Cell and atoms, written as POSCAR:
```
La6InSe5
1.0
3.796 -6.561 0.000
3.796 6.561 0.000
-2.516 0.000 7.142
La In Se
6 1 5
direct
0.074 0.415 0.745
0.243 0.243 0.253
0.415 0.074 0.745
0.585 0.926 0.255
0.757 0.757 0.747
0.926 0.585 0.255
0.500 0.500 0.000
0.000 0.000 0.500
0.167 0.833 0.000
0.336 0.664 0.500
0.664 0.336 0.500
0.833 0.167 0.000
```

Energy relative to the elements, uncorrected: -1.717 eV per atom
D(E_F): 7.05 states/eV/cell

Entry 17:
The following is a DFT calculation (GGA-PBE) of crystalline Li2LaCe2Tl2 at its relaxed geometry.

Cell and atoms, written as POSCAR:
```
Li2LaCe2Tl2
1.0
2.339 1.350 9.490
-2.339 1.350 9.490
0.000 -2.701 9.490
Li La Ce Tl
2 1 2 2
direct
0.081 0.081 0.081
0.919 0.919 0.919
0.500 0.500 0.500
0.354 0.354 0.354
0.646 0.646 0.646
0.239 0.239 0.239
0.761 0.761 0.761
```

D(E_F): 9.82 states/eV/cell
Energy relative to the elements: -0.20 eV per atom

Entry 18:
The following is a DFT calculation (GGA-PBE) of crystalline La10TbY4 at its relaxed geometry.

Cell and atoms, written as POSCAR:
```
La10TbY4
1.0
-6.261 6.261 3.991
6.261 -6.261 3.991
6.261 6.261 -3.991
La Tb Y
10 1 4
direct
0.049 0.150 0.701
0.150 0.449 0.101
0.250 0.750 0.500
0.348 0.049 0.899
0.449 0.348 0.299
0.551 0.652 0.701
0.652 0.951 0.101
0.750 0.250 0.500
0.850 0.551 0.899
0.951 0.850 0.299
0.000 0.000 0.000
0.201 0.600 0.801
0.400 0.201 0.600
0.600 0.799 0.400
0.799 0.400 0.199
```

D(E_F): 28.85 states/eV/cell
Energy relative to the elements: 0.66 eV per atom

Entry 19:
The following is a DFT calculation (GGA-PBE) of crystalline NaLaAu3 at its relaxed geometry.

Cell and atoms, written as POSCAR:
```
NaLaAu3
1.0
9.371 -2.683 0.000
9.371 2.683 0.000
-1.433 0.000 5.000
Na La Au
2 2 6
direct
0.127 0.127 0.378
0.873 0.873 0.622
0.384 0.384 0.132
0.616 0.616 0.868
0.035 0.035 0.785
0.210 0.210 0.960
0.295 0.295 0.544
0.705 0.705 0.456
0.790 0.790 0.040
0.965 0.965 0.215
```

D(E_F): 4.78 states/eV/cell
ΔE to the lowest computed polymorph: 0.131 eV per atom
Energy relative to the elements: -0.46 eV per atom

Entry 20:
The following is a DFT calculation (GGA-PBE) of crystalline Na2ZnGeCl6 at its relaxed geometry.

Cell and atoms, written as POSCAR:
```
Na2ZnGeCl6
1.0
3.413 1.970 6.820
-3.413 1.970 6.820
0.000 -3.940 6.820
Na Zn Ge Cl
2 1 1 6
direct
0.000 0.000 0.000
0.489 0.489 0.489
0.244 0.244 0.244
0.692 0.692 0.692
0.052 0.765 0.431
0.245 0.571 0.923
0.431 0.052 0.765
0.571 0.923 0.245
0.765 0.431 0.052
0.923 0.245 0.571
```

Energy relative to the elements, uncorrected: -1.282 eV per atom
D(E_F): 0.00 states/eV/cell